(1)
Here is a relaxed Ba8Rh3Cl4O crystal from the Alexandria database. Energies are from PBE.

Cell and atoms, written as CIF:
```
data_Ba8Rh3Cl4O
_cell_length_a 8.818
_cell_length_b 8.818
_cell_length_c 9.386
_cell_angle_alpha 118.08
_cell_angle_beta 118.08
_cell_angle_gamma 59.97
_symmetry_space_group_name_H-M 'P 1'
_symmetry_Int_Tables_number 1
loop_
_symmetry_equiv_pos_as_xyz
'x,y,z'
loop_
_atom_site_label
_atom_site_type_symbol
_atom_site_fract_x
_atom_site_fract_y
_atom_site_fract_z
Ba1 Ba 0.227 0.749 0.703
Ba2 Ba 0.230 0.230 0.705
Ba3 Ba 0.251 0.773 0.297
Ba4 Ba 0.256 0.256 0.268
Ba5 Ba 0.744 0.744 0.732
Ba6 Ba 0.749 0.227 0.703
Ba7 Ba 0.770 0.770 0.295
Ba8 Ba 0.773 0.251 0.297
Rh1 Rh 0.000 0.500 0.500
Rh2 Rh 0.500 0.000 0.500
Rh3 Rh 0.500 0.500 0.500
Cl1 Cl 0.000 0.000 0.000
Cl2 Cl 0.000 0.500 0.000
Cl3 Cl 0.500 0.000 0.000
Cl4 Cl 0.500 0.500 0.000
O1 O 0.000 0.000 0.500
```

Summary:
Calculated density, g cm⁻³: 4.90
E_tot, eV/atom: -4.429
Crystal system: monoclinic
Calculated volume, Å³/atom: 33.15


(2)
Here is a relaxed Ba2RhClO4 crystal from the Alexandria database. Energies are from PBE.

Cell and atoms, written as CIF:
```
data_Ba2RhClO4
_cell_length_a 9.668
_cell_length_b 3.507
_cell_length_c 10.126
_cell_angle_alpha 90.00
_cell_angle_beta 111.63
_cell_angle_gamma 90.00
_symmetry_space_group_name_H-M 'P 1'
_symmetry_Int_Tables_number 1
loop_
_symmetry_equiv_pos_as_xyz
'x,y,z'
loop_
_atom_site_label
_atom_site_type_symbol
_atom_site_fract_x
_atom_site_fract_y
_atom_site_fract_z
Ba1 Ba 0.164 0.000 0.270
Ba2 Ba 0.336 0.500 0.730
Ba3 Ba 0.664 0.500 0.270
Ba4 Ba 0.836 0.000 0.730
Rh1 Rh 0.000 0.000 0.500
Rh2 Rh 0.500 0.500 0.500
Cl1 Cl 0.000 0.500 0.000
Cl2 Cl 0.500 0.000 0.000
O1 O 0.111 0.500 0.466
O2 O 0.121 0.000 0.696
O3 O 0.379 0.500 0.304
O4 O 0.389 0.000 0.534
O5 O 0.611 0.000 0.466
O6 O 0.621 0.500 0.696
O7 O 0.879 0.000 0.304
O8 O 0.889 0.500 0.534
```

Summary:
Calculated density, g cm⁻³: 4.96
E_tot, eV/atom: -5.800
Crystal system: monoclinic
Calculated volume, Å³/atom: 19.95


(3)
Here is a relaxed Ba8Rh3Cl3O crystal from the Alexandria database. Energies are from PBE.

Cell and atoms, written as CIF:
```
data_Ba8Rh3Cl3O
_cell_length_a 9.416
_cell_length_b 9.416
_cell_length_c 9.416
_cell_angle_alpha 56.13
_cell_angle_beta 56.13
_cell_angle_gamma 56.13
_symmetry_space_group_name_H-M 'P 1'
_symmetry_Int_Tables_number 1
loop_
_symmetry_equiv_pos_as_xyz
'x,y,z'
loop_
_atom_site_label
_atom_site_type_symbol
_atom_site_fract_x
_atom_site_fract_y
_atom_site_fract_z
Ba1 Ba 0.244 0.244 0.244
Ba2 Ba 0.251 0.725 0.725
Ba3 Ba 0.275 0.275 0.749
Ba4 Ba 0.275 0.749 0.275
Ba5 Ba 0.725 0.251 0.725
Ba6 Ba 0.725 0.725 0.251
Ba7 Ba 0.749 0.275 0.275
Ba8 Ba 0.756 0.756 0.756
Rh1 Rh 0.000 0.000 0.500
Rh2 Rh 0.000 0.500 0.000
Rh3 Rh 0.500 0.000 0.000
Cl1 Cl 0.000 0.500 0.500
Cl2 Cl 0.500 0.000 0.500
Cl3 Cl 0.500 0.500 0.000
O1 O 0.500 0.500 0.500
```

Summary:
Calculated density, g cm⁻³: 4.73
E_tot, eV/atom: -4.325
Crystal system: trigonal
Calculated volume, Å³/atom: 35.83


(4)
Here is a relaxed Ba6Rh2Cl3O crystal from the Alexandria database. Energies are from PBE.

Cell and atoms, written as CIF:
```
data_Ba6Rh2Cl3O
_cell_length_a 7.566
_cell_length_b 7.566
_cell_length_c 8.252
_cell_angle_alpha 98.85
_cell_angle_beta 98.85
_cell_angle_gamma 120.07
_symmetry_space_group_name_H-M 'P 1'
_symmetry_Int_Tables_number 1
loop_
_symmetry_equiv_pos_as_xyz
'x,y,z'
loop_
_atom_site_label
_atom_site_type_symbol
_atom_site_fract_x
_atom_site_fract_y
_atom_site_fract_z
Ba1 Ba 0.070 0.382 0.209
Ba2 Ba 0.240 0.240 0.793
Ba3 Ba 0.382 0.070 0.209
Ba4 Ba 0.618 0.930 0.791
Ba5 Ba 0.760 0.760 0.207
Ba6 Ba 0.930 0.618 0.791
Rh1 Rh 0.334 0.666 0.000
Rh2 Rh 0.666 0.334 0.000
Cl1 Cl 0.170 0.830 0.500
Cl2 Cl 0.500 0.500 0.500
Cl3 Cl 0.830 0.170 0.500
O1 O 0.000 0.000 0.000
```

Summary:
Calculated density, g cm⁻³: 4.92
E_tot, eV/atom: -4.478
Crystal system: monoclinic
Calculated volume, Å³/atom: 32.41


(5)
Here is a relaxed Ba6Ru3Cl2O12 crystal from the Alexandria database. Energies are from PBE.

Cell and atoms, written as CIF:
```
data_Ba6Ru3Cl2O12
_cell_length_a 5.928
_cell_length_b 5.928
_cell_length_c 15.013
_cell_angle_alpha 90.00
_cell_angle_beta 90.00
_cell_angle_gamma 120.00
_symmetry_space_group_name_H-M 'P 1'
_symmetry_Int_Tables_number 1
loop_
_symmetry_equiv_pos_as_xyz
'x,y,z'
loop_
_atom_site_label
_atom_site_type_symbol
_atom_site_fract_x
_atom_site_fract_y
_atom_site_fract_z
Ba1 Ba 0.333 0.667 0.078
Ba2 Ba 0.333 0.667 0.361
Ba3 Ba 0.333 0.667 0.787
Ba4 Ba 0.667 0.333 0.213
Ba5 Ba 0.667 0.333 0.639
Ba6 Ba 0.667 0.333 0.922
Ru1 Ru 0.000 0.000 0.000
Ru2 Ru 0.000 0.000 0.173
Ru3 Ru 0.000 0.000 0.827
Cl1 Cl 0.333 0.667 0.576
Cl2 Cl 0.667 0.333 0.424
O1 O 0.156 0.313 0.919
O2 O 0.156 0.844 0.919
O3 O 0.159 0.318 0.238
O4 O 0.159 0.841 0.238
O5 O 0.313 0.156 0.081
O6 O 0.318 0.159 0.762
O7 O 0.682 0.841 0.238
O8 O 0.687 0.844 0.919
O9 O 0.841 0.159 0.762
O10 O 0.841 0.682 0.762
O11 O 0.844 0.156 0.081
O12 O 0.844 0.687 0.081
```

Summary:
Calculated density, g cm⁻³: 5.05
E_tot, eV/atom: -6.468
Crystal system: trigonal
Calculated volume, Å³/atom: 19.87


(6)
Here is a relaxed Ba5Ru2Cl2O9 crystal from the Alexandria database. Energies are from PBE.

Cell and atoms, written as CIF:
```
data_Ba5Ru2Cl2O9
_cell_length_a 5.920
_cell_length_b 5.920
_cell_length_c 25.263
_cell_angle_alpha 90.00
_cell_angle_beta 90.00
_cell_angle_gamma 120.00
_symmetry_space_group_name_H-M 'P 1'
_symmetry_Int_Tables_number 1
loop_
_symmetry_equiv_pos_as_xyz
'x,y,z'
loop_
_atom_site_label
_atom_site_type_symbol
_atom_site_fract_x
_atom_site_fract_y
_atom_site_fract_z
Ba1 Ba 0.333 0.667 0.082
Ba2 Ba 0.333 0.667 0.250
Ba3 Ba 0.333 0.667 0.418
Ba4 Ba 0.333 0.667 0.671
Ba5 Ba 0.333 0.667 0.829
Ba6 Ba 0.667 0.333 0.171
Ba7 Ba 0.667 0.333 0.329
Ba8 Ba 0.667 0.333 0.582
Ba9 Ba 0.667 0.333 0.750
Ba10 Ba 0.667 0.333 0.918
Ru1 Ru 0.000 0.000 0.194
Ru2 Ru 0.000 0.000 0.306
Ru3 Ru 0.000 0.000 0.694
Ru4 Ru 0.000 0.000 0.806
Cl1 Cl 0.333 0.667 0.546
Cl2 Cl 0.333 0.667 0.954
Cl3 Cl 0.667 0.333 0.046
Cl4 Cl 0.667 0.333 0.454
O1 O 0.151 0.302 0.750
O2 O 0.151 0.849 0.750
O3 O 0.160 0.320 0.156
O4 O 0.160 0.320 0.344
O5 O 0.160 0.840 0.156
O6 O 0.160 0.840 0.344
O7 O 0.302 0.151 0.250
O8 O 0.320 0.160 0.656
O9 O 0.320 0.160 0.844
O10 O 0.680 0.840 0.156
O11 O 0.680 0.840 0.344
O12 O 0.698 0.849 0.750
O13 O 0.840 0.160 0.656
O14 O 0.840 0.160 0.844
O15 O 0.840 0.680 0.656
O16 O 0.840 0.680 0.844
O17 O 0.849 0.151 0.250
O18 O 0.849 0.698 0.250
```

Summary:
Calculated density, g cm⁻³: 4.78
E_tot, eV/atom: -6.337
Crystal system: hexagonal
Calculated volume, Å³/atom: 21.30


(7)
Here is a relaxed Ba7Ru4Cl2O15 crystal from the Alexandria database. Energies are from PBE.

Cell and atoms, written as CIF:
```
data_Ba7Ru4Cl2O15
_cell_length_a 17.774
_cell_length_b 17.774
_cell_length_c 17.774
_cell_angle_alpha 19.05
_cell_angle_beta 19.05
_cell_angle_gamma 19.05
_symmetry_space_group_name_H-M 'P 1'
_symmetry_Int_Tables_number 1
loop_
_symmetry_equiv_pos_as_xyz
'x,y,z'
loop_
_atom_site_label
_atom_site_type_symbol
_atom_site_fract_x
_atom_site_fract_y
_atom_site_fract_z
Ba1 Ba 0.000 0.000 0.000
Ba2 Ba 0.083 0.083 0.083
Ba3 Ba 0.206 0.206 0.206
Ba4 Ba 0.286 0.286 0.286
Ba5 Ba 0.714 0.714 0.714
Ba6 Ba 0.794 0.794 0.794
Ba7 Ba 0.917 0.917 0.917
Ru1 Ru 0.353 0.353 0.353
Ru2 Ru 0.406 0.406 0.406
Ru3 Ru 0.594 0.594 0.594
Ru4 Ru 0.647 0.647 0.647
Cl1 Cl 0.144 0.144 0.144
Cl2 Cl 0.856 0.856 0.856
O1 O 0.000 0.500 0.500
O2 O 0.103 0.586 0.586
O3 O 0.228 0.228 0.680
O4 O 0.228 0.680 0.228
O5 O 0.320 0.772 0.772
O6 O 0.414 0.414 0.897
O7 O 0.414 0.897 0.414
O8 O 0.500 0.000 0.500
O9 O 0.500 0.500 0.000
O10 O 0.586 0.103 0.586
O11 O 0.586 0.586 0.103
O12 O 0.680 0.228 0.228
O13 O 0.772 0.320 0.772
O14 O 0.772 0.772 0.320
O15 O 0.897 0.414 0.414
```

Summary:
Calculated density, g cm⁻³: 5.32
E_tot, eV/atom: -6.561
Crystal system: trigonal
Calculated volume, Å³/atom: 18.68


> The highest calculated density belongs to which entry?

Ba7Ru4Cl2O15